Entry from the Alexandria database: an optimized crystal structure of MnPdSCl2 (PBE).

The total DFT energy (no corrections) comes out at -21.7 eV/cell. The polymorph energy (0 for the lowest one) is 0.091 eV per atom.

It has space group P4/mmm (No. 123), with a = 4.753 Å, b = 4.753 Å, c = 4.878 Å, α = 90.00°, β = 90.00° and γ = 90.00°. The inequivalent atoms are Mn at (0.000, 0.000, 0.000), Pd at (0.500, 0.500, 0.500), S at (0.500, 0.500, 0.000) and Cl at (0.000, 0.500, 0.500).

***

Entry from the Alexandria database: an optimized crystal structure of AcY7Ho3 (PBE).

The total DFT energy (no corrections) comes out at -60.7 eV/cell. The polymorph energy (0 for the lowest one) is 0.075 eV per atom.

It has space group P3m1 (No. 156), with a = 7.1445 Å, b = 7.1445 Å, c = 8.6955 Å, α = 90.00°, β = 90.00° and γ = 120.00°. The inequivalent atoms are Ac at (0.0000, 0.0000, 0.0000), Y at (0.0025, 0.5013, 0.0003), Y at (0.3328, 0.1664, 0.6639), Y at (0.3333, 0.6667, 0.6664) and Ho at (0.1686, 0.3371, 0.3381).

***

Entry from the Alexandria database: an optimized crystal structure of Pa2SiPRh6 (PBE).

The total DFT energy (no corrections) comes out at -162.5 eV/cell.

It has space group Pmmn (No. 59, origin choice 2), with a = 5.526 Å, b = 8.415 Å, c = 7.631 Å, α = 90.00°, β = 90.00° and γ = 90.00°. The inequivalent atoms are Pa at (0.250, 0.013, 0.237), Si at (0.250, 0.750, 0.769), P at (0.250, 0.250, 0.744), Rh at (0.002, 0.750, 0.020), Rh at (0.003, 0.250, 0.491) and Rh at (0.250, 0.000, 0.618).

***

Entry from the Alexandria database: an optimized crystal structure of YTaBr (PBE).

The total DFT energy (no corrections) comes out at -78.4 eV/cell. The polymorph energy (0 for the lowest one) is 0.044 eV per atom.

It has space group Fmm2 (No. 42), with a = 4.581 Å, b = 4.589 Å, c = 13.979 Å, α = 90.00°, β = 90.00° and γ = 90.00°. The inequivalent atoms are Y at (0.000, 0.000, 0.000), Ta at (0.000, 0.000, 0.347) and Br at (0.000, 0.000, 0.651).

***

Entry from the Alexandria database: an optimized crystal structure of Cr2IrOs2 (PBE).

The total DFT energy (no corrections) comes out at -95.0 eV/cell. The polymorph energy (0 for the lowest one) is 0.412 eV per atom.

It has space group I4/mmm (No. 139), with a = 3.690 Å, b = 3.690 Å, c = 11.050 Å, α = 90.00°, β = 90.00° and γ = 90.00°. The inequivalent atoms are Cr at (0.000, 0.500, 0.250), Ir at (0.000, 0.000, 0.000) and Os at (0.000, 0.000, 0.389).

***

Entry from the Alexandria database: an optimized crystal structure of LaCeDy2Hg4 (PBE).

The total DFT energy (no corrections) comes out at -73.9 eV/cell.

It has space group R-3m (No. 166, hexagonal axes), with a = 5.3763 Å, b = 5.3763 Å, c = 26.4004 Å, α = 90.00°, β = 90.00° and γ = 120.00°. The inequivalent atoms are La at (0.0000, 0.0000, 0.0000), Ce at (0.0000, 0.0000, 0.5000), Dy at (0.0000, 0.0000, 0.2489), Hg at (0.0000, 0.0000, 0.1261) and Hg at (0.0000, 0.0000, 0.3766).

***

Entry from the Alexandria database: an optimized crystal structure of La2PmTm5Th (PBE).

The total DFT energy (no corrections) comes out at -167.5 eV/cell.

It has space group I4/mcm (No. 140), with a = 8.662 Å, b = 8.662 Å, c = 15.513 Å, α = 90.00°, β = 90.00° and γ = 90.00°. The inequivalent atoms are La at (0.117, 0.383, 0.000), Pm at (0.000, 0.500, 0.250), Tm at (0.000, 0.000, 0.000), Tm at (0.216, 0.284, 0.358) and Th at (0.000, 0.000, 0.250).

***

Entry from the Alexandria database: an optimized crystal structure of Cs4Hg2Pt (PBE).

The total DFT energy (no corrections) comes out at -21.0 eV/cell. The polymorph energy (0 for the lowest one) is 0.057 eV per atom.

It has space group I4/mmm (No. 139), with a = 6.919 Å, b = 6.919 Å, c = 17.972 Å, α = 90.00°, β = 90.00° and γ = 90.00°. The inequivalent atoms are Cs at (0.000, 0.000, 0.180), Cs at (0.000, 0.500, 0.000), Hg at (0.000, 0.000, 0.405) and Pt at (0.000, 0.000, 0.000).

***

Entry from the Alexandria database: an optimized crystal structure of CeTmMg2Cd2 (PBE).

The total DFT energy (no corrections) comes out at -16.5 eV/cell.

It has space group P-3m1 (No. 164), with a = 5.1059 Å, b = 5.1059 Å, c = 6.5488 Å, α = 90.00°, β = 90.00° and γ = 120.00°. The inequivalent atoms are Ce at (0.0000, 0.0000, 0.0000), Tm at (0.0000, 0.0000, 0.5000), Mg at (0.3333, 0.6667, 0.7463) and Cd at (0.3333, 0.6667, 0.2509).

***

Entry from the Alexandria database: an optimized crystal structure of CaSiSe3 (PBE).

The total DFT energy (no corrections) comes out at -91.9 eV/cell. The polymorph energy (0 for the lowest one) is 0.000 eV per atom.

It has space group P2_1/c (No. 14), with a = 7.386 Å, b = 7.365 Å, c = 11.857 Å, α = 90.00°, β = 113.32° and γ = 90.00°. The inequivalent atoms are Ca at (0.247, 0.132, 0.243), Si at (0.357, 0.600, 0.377), Se at (0.140, 0.680, 0.866), Se at (0.310, 0.156, 0.985) and Se at (0.354, 0.505, 0.196).

***

Entry from the Alexandria database: an optimized crystal structure of Sm6AlGa2 (PBE).

The total DFT energy (no corrections) comes out at -165.1 eV/cell.

It has space group Immm (No. 71), with a = 9.844 Å, b = 9.877 Å, c = 10.641 Å, α = 90.00°, β = 90.00° and γ = 90.00°. The inequivalent atoms are Sm at (0.000, 0.197, 0.243), Sm at (0.207, 0.500, 0.176), Sm at (0.226, 0.321, 0.500), Al at (0.000, 0.000, 0.000), Al at (0.000, 0.000, 0.500), Ga at (0.000, 0.353, 0.000) and Ga at (0.000, 0.500, 0.379).

***

Entry from the Alexandria database: an optimized crystal structure of ErBe4Ni (PBE).

The total DFT energy (no corrections) comes out at -102.6 eV/cell.

It has space group F-43m (No. 216), with a = 6.527 Å, b = 6.527 Å, c = 6.527 Å, α = 90.00°, β = 90.00° and γ = 90.00°. The inequivalent atoms are Er at (0.000, 0.000, 0.000), Be at (0.122, 0.122, 0.378) and Ni at (0.250, 0.250, 0.750).

***

Entry from the Alexandria database: an optimized crystal structure of La2CeSc (PBE).

The total DFT energy (no corrections) comes out at -21.7 eV/cell. The polymorph energy (0 for the lowest one) is 0.007 eV per atom.

It has space group P4/mmm (No. 123), with a = 5.064 Å, b = 5.064 Å, c = 4.931 Å, α = 90.00°, β = 90.00° and γ = 90.00°. The inequivalent atoms are La at (0.000, 0.500, 0.000), Ce at (0.000, 0.000, 0.500) and Sc at (0.500, 0.500, 0.500).

***

Entry from the Alexandria database: an optimized crystal structure of MnSiSb2Te (PBE).

The total DFT energy (no corrections) comes out at -22.4 eV/cell. The polymorph energy (0 for the lowest one) is 0.000 eV per atom.

It has space group P4/mmm (No. 123), with a = 4.799 Å, b = 4.799 Å, c = 5.462 Å, α = 90.00°, β = 90.00° and γ = 90.00°. The inequivalent atoms are Mn at (0.000, 0.000, 0.000), Si at (0.500, 0.500, 0.500), Sb at (0.000, 0.500, 0.000) and Te at (0.000, 0.000, 0.500).

***

Entry from the Alexandria database: an optimized crystal structure of BaNi2Ru (PBE).

The total DFT energy (no corrections) comes out at -20.9 eV/cell. The polymorph energy (0 for the lowest one) is 0.349 eV per atom.

It has space group P4/mmm (No. 123), with a = 3.206 Å, b = 3.206 Å, c = 7.159 Å, α = 90.00°, β = 90.00° and γ = 90.00°. The inequivalent atoms are Ba at (0.000, 0.000, 0.000), Ni at (0.500, 0.500, 0.335) and Ru at (0.000, 0.000, 0.500).

***

Entry from the Alexandria database: an optimized crystal structure of HoMgZr2 (PBE).

The total DFT energy (no corrections) comes out at -68.4 eV/cell. The polymorph energy (0 for the lowest one) is 0.094 eV per atom.

It has space group R3m (No. 160, hexagonal axes), with a = 3.2471 Å, b = 3.2471 Å, c = 32.4718 Å, α = 90.00°, β = 90.00° and γ = 120.00°. The inequivalent atoms are Ho at (0.0000, 0.0000, 0.0000), Mg at (0.0000, 0.0000, 0.8336), Zr at (0.0000, 0.0000, 0.2489) and Zr at (0.0000, 0.0000, 0.4177).

***

Entry from the Alexandria database: an optimized crystal structure of Pm7Pb4S4 (PBE).

The total DFT energy (no corrections) comes out at -324.9 eV/cell.

It has space group I4/mmm (No. 139), with a = 15.438 Å, b = 15.438 Å, c = 6.762 Å, α = 90.00°, β = 90.00° and γ = 90.00°. The inequivalent atoms are Pm at (0.000, 0.000, 0.238), Pm at (0.000, 0.287, 0.000), Pm at (0.000, 0.382, 0.500), Pm at (0.214, 0.214, 0.500), Pb at (0.000, 0.176, 0.500), Pb at (0.132, 0.132, 0.000) and S at (0.145, 0.355, 0.250).

***

Entry from the Alexandria database: an optimized crystal structure of KNiCl2 (PBE).

The total DFT energy (no corrections) comes out at -28.5 eV/cell. The polymorph energy (0 for the lowest one) is 0.043 eV per atom.

It has space group Immm (No. 71), with a = 3.573 Å, b = 6.412 Å, c = 8.303 Å, α = 90.00°, β = 90.00° and γ = 90.00°. The inequivalent atoms are K at (0.000, 0.000, 0.000), Ni at (0.000, 0.000, 0.500) and Cl at (0.000, 0.500, 0.183).

***

Entry from the Alexandria database: an optimized crystal structure of LiAc2Ge3Ir4 (PBE).

The total DFT energy (no corrections) comes out at -66.4 eV/cell.

It has space group P-4m2 (No. 115), with a = 4.251 Å, b = 4.251 Å, c = 10.795 Å, α = 90.00°, β = 90.00° and γ = 90.00°. The inequivalent atoms are Li at (0.000, 0.000, 0.000), Ac at (0.000, 0.500, 0.756), Ge at (0.000, 0.500, 0.376), Ge at (0.500, 0.500, 0.000), Ir at (0.000, 0.000, 0.500), Ir at (0.000, 0.500, 0.138) and Ir at (0.500, 0.500, 0.500).

***

Entry from the Alexandria database: an optimized crystal structure of Ca2Cd6Ga (PBE).

The total DFT energy (no corrections) comes out at -29.4 eV/cell.

It has space group C2/m (No. 12), with a = 10.931 Å, b = 6.295 Å, c = 6.431 Å, α = 90.00°, β = 90.17° and γ = 90.00°. The inequivalent atoms are Ca at (0.166, 0.000, 0.142), Cd at (0.088, 0.237, 0.675), Cd at (0.176, 0.500, 0.326) and Ga at (0.000, 0.500, 0.000).